# RbGaHgSb

A relaxed structure of RbGaHgSb (GGA-PBE, Alexandria via LeMat-Bulk).

Results
* ΔE_f (raw): -269 meV/atom
* total moment: 0.00 Bohr magnetons per cell
* V: 287 Å³/cell

Lattice parameters (Å, degrees): 4.8839 4.8839 12.0233 90.00 90.00 90.00
Closest atoms and distances in Å follow each position.
Fractional coordinates of all 8 atoms:
Rb 0.2500 0.2500 0.2477  4 Sb 3.79, 4 Hg 3.85, 4 Ga 3.89
Rb 0.7500 0.7500 0.7523  4 Sb 3.79, 4 Hg 3.85, 4 Ga 3.89
Ga 0.2500 0.7500 0.5000  4 Sb 2.85
Ga 0.7500 0.2500 0.5000  4 Sb 2.85
Hg 0.2500 0.7500 0.0000  4 Hg 3.45, 4 Rb 3.85
Hg 0.7500 0.2500 0.0000  4 Hg 3.45, 4 Rb 3.85
Sb 0.2500 0.2500 0.6219  4 Ga 2.85
Sb 0.7500 0.7500 0.3781  4 Ga 2.85